No. 1
## Lu2BiTe (PBE-GGA)

Data for Lu2BiTe after structural relaxation.

Lattice parameters (Å, degrees): 7.4943 7.4943 7.4943 33.78 33.78 33.78
Last column: nearest neighbours and their distance in Å.
Element x y z (fractional)
Lu: 0.2501 0.2501 0.2501  3 Bi 3.07, 3 Te 3.07
Lu: 0.7499 0.7499 0.7499  3 Bi 3.07, 3 Te 3.07
Bi: 0.0000 0.0000 0.0000  6 Lu 3.07
Te: 0.5000 0.5000 0.5000  6 Lu 3.07

Properties
Raw total energy in hartree per atom: -0.1817
Formation energy without anion corrections in meV/atom: -929
DOS at the Fermi energy in states/eV per cell: 1.99

No. 2
## LuThBi2 (PBE-GGA)

Data for LuThBi2 after structural relaxation.

Lattice parameters (Å, degrees): 5.5097 5.5097 5.5097 60.00 60.00 60.00
Last column: nearest neighbours and their distance in Å.
Element x y z (fractional)
Lu: 0.0000 0.0000 0.0000  8 Bi 3.37
Th: 0.5000 0.5000 0.5000  8 Bi 3.37
Bi: 0.2500 0.2500 0.2500  4 Th 3.37, 4 Lu 3.37
Bi: 0.7500 0.7500 0.7500  4 Th 3.37, 4 Lu 3.37

Properties
Raw total energy in hartree per atom: -0.1982
Relative energy among the computed polymorphs in meV per atom: 31.5
DOS at the Fermi energy in states/eV per cell: 4.77

No. 3
## LuTh2Bi (PBE-GGA)

Data for LuTh2Bi after structural relaxation.

Lattice parameters (Å, degrees): 5.6129 5.6129 5.6129 60.00 60.00 60.00
Last column: nearest neighbours and their distance in Å.
Element x y z (fractional)
Lu: 0.0000 0.0000 0.0000  8 Th 3.44
Th: 0.2500 0.2500 0.2500  4 Bi 3.44, 4 Lu 3.44
Th: 0.7500 0.7500 0.7500  4 Bi 3.44, 4 Lu 3.44
Bi: 0.5000 0.5000 0.5000  8 Th 3.44

Properties
Raw total energy in hartree per atom: -0.2129
Relative energy among the computed polymorphs in meV per atom: 286.1
DOS at the Fermi energy in states/eV per cell: 6.86

No. 4
## LuTh2Bi (PBE-GGA)

Data for LuTh2Bi after structural relaxation.

Lattice parameters (Å, degrees): 4.7773 4.7773 5.2006 90.00 90.00 90.00
Last column: nearest neighbours and their distance in Å.
Element x y z (fractional)
Lu: 0.0000 0.0000 0.0000  4 Bi 3.38, 8 Th 3.53
Th: 0.0000 0.5000 0.5000  4 Th 3.38, 4 Bi 3.53, 4 Lu 3.53
Th: 0.5000 0.0000 0.5000  4 Th 3.38, 4 Bi 3.53, 4 Lu 3.53
Bi: 0.5000 0.5000 0.0000  4 Lu 3.38, 8 Th 3.53

Properties
Raw total energy in hartree per atom: -0.2234
Relative energy among the computed polymorphs in meV per atom: 0.0
DOS at the Fermi energy in states/eV per cell: 4.01

No. 5
## LuThBi2 (PBE-GGA)

Data for LuThBi2 after structural relaxation.

Lattice parameters (Å, degrees): 4.0817 4.0817 7.0820 90.00 90.00 90.00
Last column: nearest neighbours and their distance in Å.
Element x y z (fractional)
Lu: 0.0000 0.0000 0.0000  8 Bi 3.37, 2 Th 3.54
Th: 0.0000 0.0000 0.5000  8 Bi 3.40, 2 Lu 3.54
Bi: 0.5000 0.5000 0.2451  4 Lu 3.37, 4 Th 3.40, 2 Bi 3.47-3.61
Bi: 0.5000 0.5000 0.7549  4 Lu 3.37, 4 Th 3.40, 2 Bi 3.47-3.61

Properties
Raw total energy in hartree per atom: -0.1993
Relative energy among the computed polymorphs in meV per atom: 0.0
DOS at the Fermi energy in states/eV per cell: 3.69

No. 6
## LuTh2Bi (PBE-GGA)

Data for LuTh2Bi after structural relaxation.

Lattice parameters (Å, degrees): 4.1620 4.1620 7.2801 90.00 90.00 90.00
Last column: nearest neighbours and their distance in Å.
Element x y z (fractional)
Lu: 0.0000 0.0000 0.0000  8 Th 3.51, 2 Bi 3.64
Th: 0.5000 0.5000 0.2629  4 Bi 3.41, 1 Th 3.45, 4 Lu 3.51
Th: 0.5000 0.5000 0.7371  4 Bi 3.41, 1 Th 3.45, 4 Lu 3.51
Bi: 0.0000 0.0000 0.5000  8 Th 3.41, 2 Lu 3.64

Properties
Raw total energy in hartree per atom: -0.2199
Relative energy among the computed polymorphs in meV per atom: 93.8
DOS at the Fermi energy in states/eV per cell: 4.12

No. 7
## LuTiBi2 (PBE-GGA)

Data for LuTiBi2 after structural relaxation.

Lattice parameters (Å, degrees): 3.5937 3.5937 7.8004 90.00 90.00 90.00
Last column: nearest neighbours and their distance in Å.
Element x y z (fractional)
Lu: 0.0000 0.0000 0.0000  8 Bi 3.32, 4 Lu 3.59
Ti: 0.0000 0.0000 0.5000  8 Bi 3.09
Bi: 0.5000 0.5000 0.2742  4 Ti 3.09, 4 Lu 3.32
Bi: 0.5000 0.5000 0.7258  4 Ti 3.09, 4 Lu 3.32

Properties
Raw total energy in hartree per atom: -0.1924
Relative energy among the computed polymorphs in meV per atom: 130.0
DOS at the Fermi energy in states/eV per cell: 3.27

No. 8
## LuTiBi2 (PBE-GGA)

Data for LuTiBi2 after structural relaxation.

Lattice parameters (Å, degrees): 7.4312 7.4312 7.4312 32.99 32.99 32.99
Last column: nearest neighbours and their distance in Å.
Element x y z (fractional)
Lu: 0.0000 0.0000 0.0000  6 Bi 3.09
Ti: 0.5000 0.5000 0.5000  6 Bi 2.92
Bi: 0.2431 0.2431 0.2431  3 Ti 2.92, 3 Lu 3.09
Bi: 0.7569 0.7569 0.7569  3 Ti 2.92, 3 Lu 3.09

Properties
Raw total energy in hartree per atom: -0.1972
Relative energy among the computed polymorphs in meV per atom: 0.0
DOS at the Fermi energy in states/eV per cell: 2.46

What did the eighth record say?
## LuTiBi2 (PBE-GGA)

Data for LuTiBi2 after structural relaxation.

Lattice parameters (Å, degrees): 7.4312 7.4312 7.4312 32.99 32.99 32.99
Last column: nearest neighbours and their distance in Å.
Element x y z (fractional)
Lu: 0.0000 0.0000 0.0000  6 Bi 3.09
Ti: 0.5000 0.5000 0.5000  6 Bi 2.92
Bi: 0.2431 0.2431 0.2431  3 Ti 2.92, 3 Lu 3.09
Bi: 0.7569 0.7569 0.7569  3 Ti 2.92, 3 Lu 3.09

Properties
Raw total energy in hartree per atom: -0.1972
Relative energy among the computed polymorphs in meV per atom: 0.0
DOS at the Fermi energy in states/eV per cell: 2.46